# CdHgRh2

A geometry-optimized CdHgRh2 structure (PBE, Alexandria).

Structure (CIF):
```
data_CdHgRh2
_chemical_formula_sum 'Cd2 Hg2 Rh4'
_cell_length_a 9.233
_cell_length_b 2.972
_cell_length_c 5.094
_cell_angle_alpha 90.00
_cell_angle_beta 100.82
_cell_angle_gamma 90.00
_symmetry_space_group_name_H-M 'C 1 2/m 1'
_symmetry_Int_Tables_number 12
_symmetry_space_group_name_Hall '-C 2y'
loop_
_atom_site_label
_atom_site_type_symbol
_atom_site_fract_x
_atom_site_fract_y
_atom_site_fract_z
Cd1 Cd 0.000 0.000 0.000
Hg1 Hg 0.000 0.500 0.500
Rh1 Rh 0.249 0.500 0.246
```

DOS at the Fermi energy: 4.404 states/eV per cell
energy of formation: 111.4 meV per atom
calculated total energy: -3.87 eV per atom

# TcNiS2Cl

A geometry-optimized TcNiS2Cl structure (PBE, Alexandria).

Structure (CIF):
```
data_TcNiS2Cl
_chemical_formula_sum 'Tc1 Ni1 S2 Cl1'
_cell_length_a 4.532
_cell_length_b 4.532
_cell_length_c 4.472
_cell_angle_alpha 90.00
_cell_angle_beta 90.00
_cell_angle_gamma 90.00
_symmetry_space_group_name_H-M 'P 4/m m m'
_symmetry_Int_Tables_number 123
_symmetry_space_group_name_Hall '-P 4 2'
loop_
_atom_site_label
_atom_site_type_symbol
_atom_site_fract_x
_atom_site_fract_y
_atom_site_fract_z
Tc1 Tc 0.000 0.000 0.000
Ni1 Ni 0.500 0.500 0.500
S1 S 0.000 0.500 0.500
Cl1 Cl 0.500 0.500 0.000
```

distance to the lowest polymorph of the same formula: 70 meV/atom
formation energy from raw total energies: 3.13 eV per formula unit
DOS at the Fermi energy: 2.865 states/eV per cell
calculated total energy: -4.62 eV per atom

# ZrBAs2

A geometry-optimized ZrBAs2 structure (PBE, Alexandria).

Structure (CIF):
```
data_ZrBAs2
_chemical_formula_sum 'Zr4 B4 As8'
_cell_length_a 6.352
_cell_length_b 6.352
_cell_length_c 6.769
_cell_angle_alpha 90.00
_cell_angle_beta 90.00
_cell_angle_gamma 90.00
_symmetry_space_group_name_H-M 'I -4 2 d'
_symmetry_Int_Tables_number 122
_symmetry_space_group_name_Hall 'I -4 2bw'
loop_
_atom_site_label
_atom_site_type_symbol
_atom_site_fract_x
_atom_site_fract_y
_atom_site_fract_z
Zr1 Zr 0.000 0.000 0.000
B1 B 0.000 0.000 0.500
As1 As 0.162 0.750 0.625
```

DOS at the Fermi energy: 5.521 states/eV per cell
energy of formation: -102.1 meV per atom
calculated total energy: -6.23 eV per atom